Entry 1:
Here is crystalline AlSb2Os at its relaxed geometry from Alexandria. Energies are from GGA-PBE.

Output
VASP energy (eV/atom): -5.22
E_form (uncorrected) (eV/atom): 0.585
Symmetry: No. 119

Lattice parameters (Å, degrees): 5.091 5.091 5.091 128.92 128.92 75.13
Positions (direct):
Os (0.750, 0.250, 0.500)
Al (0.500, 0.500, 0.000)
Sb (0.250, 0.750, 0.500)
Sb (0.000, 0.000, 0.000)

=====

Entry 2:
Here is crystalline AlSb2Os at its relaxed geometry from Alexandria. Energies are from GGA-PBE.

Output
VASP energy (eV/atom): -5.63
E_form (uncorrected) (eV/atom): 0.176
Symmetry: No. 65

Lattice parameters (Å, degrees): 4.025 5.827 5.828 48.41 90.00 90.00
Positions (direct):
Sb (0.000, 0.913, 0.913)
Sb (0.000, 0.587, 0.587)
Al (0.500, 0.250, 0.250)
Os (0.500, 0.750, 0.750)

=====

Entry 3:
Here is crystalline AlSb2Os at its relaxed geometry from Alexandria. Energies are from GGA-PBE.

Output
VASP energy (eV/atom): -5.74
E_form (uncorrected) (eV/atom): 0.061
Symmetry: No. 99

Lattice parameters (Å, degrees): 3.221 3.221 8.016 90.00 90.00 90.00
Positions (direct):
Al (0.000, 0.000, 0.549)
Sb (0.000, 0.000, 0.927)
Sb (0.500, 0.500, 0.318)
Os (0.500, 0.500, 0.707)

=====

Entry 4:
Here is crystalline AlSb2Os at its relaxed geometry from Alexandria. Energies are from GGA-PBE.

Output
VASP energy (eV/atom): -5.43
E_form (uncorrected) (eV/atom): 0.370
Symmetry: No. 12

Lattice parameters (Å, degrees): 4.215 4.215 6.848 76.61 76.61 47.49
Positions (direct):
Al (0.750, 0.750, 0.750)
Sb (0.998, 0.998, 0.033)
Sb (0.502, 0.502, 0.467)
Os (0.250, 0.250, 0.250)

=====

Entry 5:
Here is crystalline AlSb2Os at its relaxed geometry from Alexandria. Energies are from GGA-PBE.

Output
VASP energy (eV/atom): -5.68
E_form (uncorrected) (eV/atom): 0.127
Symmetry: No. 8

Lattice parameters (Å, degrees): 4.581 4.581 6.429 78.37 78.37 41.87
Positions (direct):
Al (0.519, 0.519, 0.429)
Sb (0.751, 0.751, 0.676)
Sb (0.979, 0.979, 0.067)
Os (0.251, 0.251, 0.328)

=====

Entry 6:
Here is crystalline AlSb2OsSe at its relaxed geometry from Alexandria. Energies are from GGA-PBE.

Output
VASP energy (eV/atom): -3.85
E_form (uncorrected) (eV/atom): 1.486
Symmetry: No. 123

Lattice parameters (Å, degrees): 5.304 4.609 5.304 90.00 90.00 90.00
Site moments in Bohr magnetons follow the coordinates.
Positions (direct):
Se (0.000, 0.000, 0.000)  -0.01
Al (0.000, 0.500, 0.000)  0.00
Os (0.500, 0.500, 0.500)  1.86
Sb (0.000, 0.000, 0.500)  -0.04
Sb (0.500, 0.000, 0.000)  -0.04

=====

Entry 7:
Here is crystalline AlSb2TeOs at its relaxed geometry from Alexandria. Energies are from GGA-PBE.

Output
VASP energy (eV/atom): -4.56
E_form (uncorrected) (eV/atom): 0.715
Symmetry: No. 123

Lattice parameters (Å, degrees): 5.007 5.007 5.872 90.00 90.00 90.00
Positions (direct):
Te (0.000, 0.000, 0.500)
Os (0.000, 0.000, 0.000)
Sb (0.000, 0.500, 0.000)
Sb (0.500, 0.000, 0.000)
Al (0.500, 0.500, 0.500)

=====

Entry 8:
Here is crystalline AlSbTe2Os at its relaxed geometry from Alexandria. Energies are from GGA-PBE.

Output
VASP energy (eV/atom): -3.65
E_form (uncorrected) (eV/atom): 1.428
Symmetry: No. 123

Lattice parameters (Å, degrees): 5.105 5.105 5.032 90.00 90.00 90.00
Site moments in Bohr magnetons follow the coordinates.
Positions (direct):
Os (0.500, 0.500, 0.500)  0.48
Te (0.500, 0.000, 0.000)  -0.03
Te (0.000, 0.500, 0.000)  -0.03
Al (0.000, 0.000, 0.000)  0.00
Sb (0.000, 0.000, 0.500)  -0.03

=====

Entry 9:
Here is crystalline AlSb2TeOs at its relaxed geometry from Alexandria. Energies are from GGA-PBE.

Output
VASP energy (eV/atom): -3.80
E_form (uncorrected) (eV/atom): 1.472
Symmetry: No. 123

Lattice parameters (Å, degrees): 5.119 5.119 5.123 90.00 90.00 90.00
Site moments in Bohr magnetons follow the coordinates.
Positions (direct):
Os (0.500, 0.500, 0.500)  1.84
Te (0.000, 0.000, 0.500)  -0.06
Sb (0.000, 0.500, 0.000)  -0.06
Sb (0.500, 0.000, 0.000)  -0.06
Al (0.000, 0.000, 0.000)  0.00

=====

Entry 10:
Here is crystalline AlSbTe2Os at its relaxed geometry from Alexandria. Energies are from GGA-PBE.

Output
VASP energy (eV/atom): -4.33
E_form (uncorrected) (eV/atom): 0.750
Symmetry: No. 123

Lattice parameters (Å, degrees): 5.420 5.420 5.001 90.00 90.00 90.00
Positions (direct):
Sb (0.000, 0.000, 0.500)
Al (0.500, 0.500, 0.500)
Os (0.000, 0.000, 0.000)
Te (0.500, 0.000, 0.000)
Te (0.000, 0.500, 0.000)

=====

Entry 11:
Here is crystalline Al2SbOsW at its relaxed geometry from Alexandria. Energies are from GGA-PBE.

Output
VASP energy (eV/atom): -4.77
E_form (uncorrected) (eV/atom): 2.391
Symmetry: No. 123

Lattice parameters (Å, degrees): 4.908 4.952 4.908 90.00 90.00 90.00
Site moments in Bohr magnetons follow the coordinates.
Positions (direct):
Sb (0.000, 0.000, 0.000)  -0.01
W (0.000, 0.500, 0.000)  0.78
Al (0.000, 0.000, 0.500)  -0.01
Al (0.500, 0.000, 0.000)  -0.01
Os (0.500, 0.500, 0.500)  1.70

=====

Entry 12:
Here is crystalline ZrAlSb2Os at its relaxed geometry from Alexandria. Energies are from GGA-PBE.

Output
VASP energy (eV/atom): -4.80
E_form (uncorrected) (eV/atom): 1.558
Symmetry: No. 123

Lattice parameters (Å, degrees): 5.421 5.202 5.421 90.00 90.00 90.00
Site moments in Bohr magnetons follow the coordinates.
Positions (direct):
Sb (0.000, 0.000, 0.500)  0.00
Sb (0.500, 0.000, 0.000)  0.01
Al (0.000, 0.500, 0.000)  0.00
Zr (0.000, 0.000, 0.000)  0.14
Os (0.500, 0.500, 0.500)  2.84

=====

Entry 13:
Here is crystalline ZrAlSbOs2 at its relaxed geometry from Alexandria. Energies are from GGA-PBE.

Output
VASP energy (eV/atom): -5.88
E_form (uncorrected) (eV/atom): 1.897
Symmetry: No. 123

Lattice parameters (Å, degrees): 4.904 5.361 4.904 90.00 90.00 90.00
Site moments in Bohr magnetons follow the coordinates.
Positions (direct):
Zr (0.000, 0.000, 0.000)  -0.04
Os (0.000, 0.000, 0.500)  0.68
Os (0.500, 0.000, 0.000)  0.55
Sb (0.000, 0.500, 0.000)  0.03
Al (0.500, 0.500, 0.500)  0.03

=====

Entry 14:
Here is crystalline ScAlOs2 at its relaxed geometry from Alexandria. Energies are from GGA-PBE.

Output
VASP energy (eV/atom): -8.30
ΔE_f (eV per atom): -0.167
Symmetry: No. 71

Lattice parameters (Å, degrees): 5.100 5.100 5.100 144.97 124.30 67.52
Positions (direct):
Sc (0.750, 0.250, 0.500)
Os (0.491, 0.491, 0.000)
Os (0.009, 0.009, 0.000)
Al (0.250, 0.750, 0.500)

=====

Entry 15:
Here is crystalline Sc3AlOs at its relaxed geometry from Alexandria. Energies are from GGA-PBE.

Output
VASP energy (eV/atom): -7.16
ΔE_f (eV per atom): -0.363
Symmetry: No. 221

Lattice parameters (Å, degrees): 6.615 6.615 6.615 90.00 90.00 90.00
Positions (direct):
Sc (0.233, 0.767, 0.233)
Sc (0.233, 0.233, 0.767)
Sc (0.767, 0.767, 0.233)
Sc (0.233, 0.767, 0.767)
Sc (0.767, 0.233, 0.233)
Sc (0.233, 0.233, 0.233)
Sc (0.767, 0.233, 0.767)
Sc (0.500, 0.500, 0.500)
Sc (0.767, 0.767, 0.767)
Os (0.000, 0.500, 0.000)
Os (0.500, 0.000, 0.000)
Os (0.000, 0.000, 0.500)
Al (0.000, 0.500, 0.500)
Al (0.500, 0.500, 0.000)
Al (0.500, 0.000, 0.500)

=====

Entry 16:
Here is crystalline Sc6AlOs at its relaxed geometry from Alexandria. Energies are from GGA-PBE.

Output
VASP energy (eV/atom): -6.83
ΔE_f (eV per atom): -0.211
Symmetry: No. 139

Lattice parameters (Å, degrees): 8.817 8.817 8.817 150.04 150.04 42.89
Site moments in Bohr magnetons follow the coordinates.
Positions (direct):
Sc (0.398, 0.898, 0.500)  0.05
Sc (0.102, 0.602, 0.500)  0.05
Sc (0.602, 0.102, 0.500)  0.05
Sc (0.253, 0.253, 0.000)  0.21
Sc (0.747, 0.747, 0.000)  0.21
Sc (0.898, 0.398, 0.500)  0.05
Os (0.000, 0.000, 0.000)  0.00
Al (0.500, 0.500, 0.000)  0.00

=====

Entry 17:
Here is crystalline Sc3AlOs at its relaxed geometry from Alexandria. Energies are from GGA-PBE.

Output
VASP energy (eV/atom): -6.72
ΔE_f (eV per atom): 0.071
Symmetry: No. 221

Lattice parameters (Å, degrees): 4.996 4.996 4.996 90.00 90.00 90.00
Positions (direct):
Os (0.000, 0.000, 0.000)
Al (0.500, 0.500, 0.500)
Sc (0.000, 0.500, 0.000)
Sc (0.500, 0.000, 0.000)
Sc (0.000, 0.000, 0.500)

=====

Entry 18:
Here is crystalline ScAlOs2 at its relaxed geometry from Alexandria. Energies are from GGA-PBE.

Output
VASP energy (eV/atom): -8.30
ΔE_f (eV per atom): -0.171
Symmetry: No. 10

Lattice parameters (Å, degrees): 4.221 2.832 5.246 83.17 90.00 90.00
Positions (direct):
Os (0.000, 0.533, 0.521)
Os (0.000, 0.967, 0.979)
Sc (0.500, 0.250, 0.250)
Al (0.500, 0.750, 0.750)

=====

Entry 19:
Here is crystalline ScAlOs2 at its relaxed geometry from Alexandria. Energies are from GGA-PBE.

Output
VASP energy (eV/atom): -8.18
ΔE_f (eV per atom): -0.043
Symmetry: No. 99

Lattice parameters (Å, degrees): 3.201 3.201 6.192 90.00 90.00 90.00
Positions (direct):
Os (0.500, 0.500, 0.253)
Os (0.000, 0.000, 0.974)
Al (0.500, 0.500, 0.784)
Sc (0.000, 0.000, 0.488)

=====

Entry 20:
Here is crystalline ScAl3Os at its relaxed geometry from Alexandria. Energies are from GGA-PBE.

Output
VASP energy (eV/atom): -3.84
ΔE_f (eV per atom): 1.913
Symmetry: No. 221

Lattice parameters (Å, degrees): 4.805 4.805 4.805 90.00 90.00 90.00
Positions (direct):
Os (0.500, 0.500, 0.500)
Al (0.000, 0.500, 0.000)
Al (0.500, 0.000, 0.000)
Al (0.000, 0.000, 0.500)
Sc (0.000, 0.000, 0.000)